! AlZn2Pt3 | Alexandria | PBE | relaxed; values from VASP
! V in Å³/cell: 175.30
! SG: Cmmm
! Offset from the most stable computed form in eV/atom: 0.000
! DFT total energy in eV for the cell shown: -57.64
! Density in g/cm³: 14.08
&SYSTEM
  ibrav = 0, nat = 12, ntyp = 3
/
ATOMIC_SPECIES
Al 26.98 Al.upf
Zn 65.41 Zn.upf
Pt 195.08 Pt.upf
CELL_PARAMETERS angstrom
2.026 -6.151 0.000
2.026 6.151 0.000
0.000 0.000 7.034
ATOMIC_POSITIONS angstrom
Al 2.026 2.008 0.000
Al 2.026 -2.008 0.000
Zn 0.000 0.000 0.000
Zn 0.000 0.000 3.517
Zn 2.026 2.073 3.517
Zn 2.026 -2.073 3.517
Pt 2.026 -4.084 5.366
Pt 2.026 0.000 1.744
Pt 2.026 4.084 1.668
Pt 2.026 -4.084 1.668
Pt 2.026 4.084 5.366
Pt 2.026 0.000 5.290